Entry 1:
Compound: TlRhCl2
Source: the Alexandria database
Functional: PBE
Structure: relaxed

a = 3.585 Å, b = 3.585 Å, c = 7.851 Å
α = 90.00°, β = 90.00°, γ = 90.00°
Element x y z (fractional)
Tl (0.000, 0.000, 0.000)
Rh (0.500, 0.500, 0.536)
Cl (0.000, 0.000, 0.579)
Cl (0.500, 0.500, 0.219)

## Properties
Symmetry: P4mm, No. 99
ΔE_f (raw), eV/atom: -0.17
E above lowest polymorph, eV per atom: 0.276

Entry 2:
Compound: HoAl11Cu
Source: the Alexandria database
Functional: PBE
Structure: relaxed

a = 6.824 Å, b = 6.824 Å, c = 7.154 Å
α = 96.92°, β = 96.92°, γ = 134.99°
Element x y z (fractional)
Ho (0.000, 0.000, 0.000)
Al (0.000, 0.000, 0.500)
Al (0.000, 0.500, 0.000)
Al (0.007, 0.654, 0.646)
Al (0.289, 0.503, 0.776)
Al (0.346, 0.993, 0.354)
Al (0.497, 0.711, 0.224)
Al (0.500, 0.000, 0.000)
Al (0.503, 0.289, 0.776)
Al (0.654, 0.007, 0.646)
Al (0.711, 0.497, 0.224)
Al (0.993, 0.346, 0.354)
Cu (0.500, 0.500, 0.500)

## Properties
Symmetry: C2/m, No. 12
Energy relative to the elements, meV/atom: -104

Entry 3:
Compound: Ba3Tl2Bi3
Source: the Alexandria database
Functional: PBE
Structure: relaxed

a = 7.193 Å, b = 7.193 Å, c = 18.184 Å
α = 90.00°, β = 90.00°, γ = 138.05°
Element x y z (fractional)
Ba (0.055, 0.945, 0.612)
Ba (0.055, 0.945, 0.888)
Ba (0.321, 0.679, 0.750)
Ba (0.679, 0.321, 0.250)
Ba (0.945, 0.055, 0.112)
Ba (0.945, 0.055, 0.388)
Tl (0.229, 0.771, 0.106)
Tl (0.229, 0.771, 0.394)
Tl (0.771, 0.229, 0.606)
Tl (0.771, 0.229, 0.894)
Bi (0.385, 0.615, 0.532)
Bi (0.385, 0.615, 0.968)
Bi (0.406, 0.594, 0.250)
Bi (0.594, 0.406, 0.750)
Bi (0.615, 0.385, 0.032)
Bi (0.615, 0.385, 0.468)

## Properties
Symmetry: Cmcm, No. 63
Energy relative to the elements, meV/atom: -620